Density functional theory data (GGA-PBE) for VZnW3 after structural relaxation.

Calculated volume ... 18.57 Å³ per atom
Distance to the lowest polymorph of the same formula ... 0.341 eV/atom
ΔH_f (0 K) ... 2.01 eV/atom

Geometry as POSCAR:
```
VZnW3
1.0
-0.158 -1.204 -4.362
1.349 -4.179 1.105
-4.319 -1.261 0.505
Zn W V
1 3 1
direct
0.000 0.000 0.000
0.000 0.500 0.000
0.000 0.000 0.500
0.500 0.000 0.000
0.500 0.500 0.500
```